DFT (GGA-PBE) results for a geometry-optimized La6TbEr2Sc structure.

Results
The formation energy is 1.88 eV/f.u. As for the theoretical density: 6.59 Mg/m³. For the total energy, the calculation gives -95.546 eV for the cell shown.

a = 11.4192 Å, b = 7.1459 Å, c = 8.8237 Å
α = 90.00°, β = 106.18°, γ = 90.00°
Space group C2/m (No. 12)
Unique sites:
La1 0.1369 0.0000 0.4318 [4 per cell]
La2 0.1735 0.2773 0.7949 [8 per cell]
Tb1 0.0000 0.0000 0.0000 [2 per cell]
Er1 0.0907 0.5000 0.1764 [4 per cell]
Sc1 0.0000 0.5000 0.5000 [2 per cell]